1.
# AcPrHoMg

A geometry-optimized AcPrHoMg structure (GGA-PBE, Alexandria).

Geometry as POSCAR:
```
AcPrHoMg
1.0
5.762 0.000 0.000
2.881 4.990 0.000
2.881 1.663 4.705
Pr Ac Mg Ho
1 1 1 1
direct
0.000 0.000 0.000 Pr
0.250 0.250 0.250 Ac
0.750 0.750 0.750 Mg
0.500 0.500 0.500 Ho
```

Properties
Its relative energy among the computed polymorphs is 13.52 kJ/mol of atoms. As for the total DFT energy (no corrections): -3.643 eV per atom. As for the size of the total moment: 0.00 μB/f.u. The calculation puts the calculated formation energy at 0.122 eV/atom.

---

2.
# SrYMg2

A geometry-optimized SrYMg2 structure (GGA-PBE, Alexandria).

Geometry as POSCAR:
```
SrYMg2
1.0
6.774 -0.001 0.008
3.268 5.933 -0.008
-4.308 -4.172 3.148
Mg Sr Y
2 1 1
direct
0.983 0.983 0.000 Mg
0.777 0.277 0.500 Mg
0.515 0.515 0.000 Sr
0.224 0.724 0.500 Y
```

Properties
Its relative energy among the computed polymorphs is 8.97 kJ/mol of atoms. As for the total DFT energy (no corrections): -2.800 eV per atom. As for the size of the total moment: 0.00 μB/f.u. The calculation puts the calculated formation energy at 0.034 eV/atom.

---

3.
# HfZr2BRh

A geometry-optimized HfZr2BRh structure (GGA-PBE, Alexandria).

Geometry as POSCAR:
```
HfZr2BRh
1.0
4.579 0.000 0.000
0.000 4.477 0.000
0.000 0.000 4.579
Rh B Hf Zr
1 1 1 2
direct
0.500 0.500 0.500 Rh
0.000 0.000 0.000 B
0.000 0.500 0.000 Hf
0.000 0.000 0.500 Zr
0.500 0.000 0.000 Zr
```

Properties
As for the total DFT energy (no corrections): -8.395 eV per atom. As for the size of the total moment: 0.00 μB/f.u. The calculation puts the calculated formation energy at -0.179 eV/atom.

---

4.
# Be17CoMo

A geometry-optimized Be17CoMo structure (GGA-PBE, Alexandria).

Geometry as POSCAR:
```
Be17CoMo
1.0
5.411 0.020 0.661
0.587 5.379 0.661
0.022 0.020 5.451
Be Co Mo
17 1 1
direct
0.300 0.006 0.693 Be
0.693 0.300 0.006 Be
0.006 0.693 0.300 Be
0.300 0.693 0.006 Be
0.006 0.300 0.693 Be
0.693 0.006 0.300 Be
0.349 0.849 0.349 Be
0.349 0.349 0.849 Be
0.849 0.349 0.349 Be
0.647 0.168 0.647 Be
0.647 0.647 0.168 Be
0.168 0.647 0.647 Be
0.991 0.505 0.991 Be
0.991 0.991 0.505 Be
0.505 0.991 0.991 Be
0.900 0.900 0.900 Be
0.105 0.105 0.105 Be
0.339 0.339 0.339 Co
0.661 0.661 0.661 Mo
```

Properties
As for the total DFT energy (no corrections): -4.397 eV per atom. As for the size of the total moment: 0.00 μB/f.u. The calculation puts the calculated formation energy at -0.119 eV/atom.

---

5.
# Ce2ErTe2S2

A geometry-optimized Ce2ErTe2S2 structure (GGA-PBE, Alexandria).

Geometry as POSCAR:
```
Ce2ErTe2S2
1.0
5.053 0.000 0.000
0.000 5.053 0.000
-2.526 -2.526 8.058
Ce Er Te S
2 1 2 2
direct
0.384 0.384 0.769 Ce
0.616 0.616 0.231 Ce
0.000 0.000 0.000 Er
0.185 0.185 0.370 Te
0.815 0.815 0.630 Te
0.000 0.500 0.000 S
0.500 0.000 0.000 S
```

Properties
As for the total DFT energy (no corrections): -5.953 eV per atom. As for the size of the total moment: 2.76 μB/f.u. The value obtained for the uncorrected formation energy is -1529 meV per atom.

---

6.
# Co2HgRh

A geometry-optimized Co2HgRh structure (GGA-PBE, Alexandria).

Geometry as POSCAR:
```
Co2HgRh
1.0
-0.926 3.944 3.176
-4.916 1.180 0.971
3.708 -3.560 0.270
Co Hg Rh
2 1 1
direct
0.982 0.982 0.000 Co
0.777 0.277 0.500 Co
0.511 0.511 0.000 Hg
0.230 0.730 0.500 Rh
```

Properties
As for the total DFT energy (no corrections): -5.147 eV per atom. As for the size of the total moment: 4.27 μB/f.u. The calculation puts the calculated formation energy at 0.319 eV/atom.

---

7.
# TiFePPt2

A geometry-optimized TiFePPt2 structure (GGA-PBE, Alexandria).

Geometry as POSCAR:
```
TiFePPt2
1.0
-3.443 -1.628 2.746
-2.441 -1.062 -3.690
1.961 -4.265 -0.070
P Fe Pt Ti
1 1 2 1
direct
0.000 0.500 0.000 P
0.500 0.500 0.500 Fe
0.000 0.000 0.500 Pt
0.500 0.000 0.000 Pt
0.000 0.000 0.000 Ti
```

Properties
As for the total DFT energy (no corrections): -6.007 eV per atom. As for the size of the total moment: 3.56 μB/f.u. The calculation puts the calculated formation energy at 0.763 eV/atom.

---

8.
# Cs3AcDy2Se6

A geometry-optimized Cs3AcDy2Se6 structure (GGA-PBE, Alexandria).

Geometry as POSCAR:
```
Cs3AcDy2Se6
1.0
7.608 0.000 -0.001
-3.802 6.589 -0.001
-1.271 -2.200 8.405
Cs Ac Dy Se
3 1 2 6
direct
0.164 0.836 0.500 Cs
0.836 0.164 0.500 Cs
0.500 0.500 0.500 Cs
0.000 0.000 0.000 Ac
0.333 0.667 0.000 Dy
0.667 0.333 0.000 Dy
0.937 0.585 0.811 Se
0.710 0.710 0.188 Se
0.063 0.415 0.189 Se
0.585 0.937 0.811 Se
0.290 0.290 0.812 Se
0.415 0.063 0.189 Se
```

Properties
As for the total DFT energy (no corrections): -4.809 eV per atom. As for the size of the total moment: 0.00 μB/f.u. The value obtained for the uncorrected formation energy is -1744 meV per atom.

---

9.
# Sc3Tc4

A geometry-optimized Sc3Tc4 structure (GGA-PBE, Alexandria).

Geometry as POSCAR:
```
Sc3Tc4
1.0
2.715 -4.702 0.000
2.715 4.702 0.000
0.000 0.000 4.755
Sc Tc
3 4
direct
0.000 0.500 0.000 Sc
0.500 0.500 0.000 Sc
0.500 0.000 0.000 Sc
0.000 0.000 0.258 Tc
0.000 0.000 0.742 Tc
0.667 0.333 0.500 Tc
0.333 0.667 0.500 Tc
```

Properties
Its relative energy among the computed polymorphs is 57.72 kJ/mol of atoms. As for the total DFT energy (no corrections): -8.209 eV per atom. As for the size of the total moment: 0.00 μB/f.u. The calculation puts the calculated formation energy at 0.428 eV/atom.

---

10.
# Ba2SrCaAu

A geometry-optimized Ba2SrCaAu structure (GGA-PBE, Alexandria).

Geometry as POSCAR:
```
Ba2SrCaAu
1.0
6.451 0.000 0.000
0.000 6.451 0.000
0.000 0.000 6.184
Sr Ca Au Ba
1 1 1 2
direct
0.000 0.000 0.500 Sr
0.500 0.500 0.500 Ca
0.000 0.000 0.000 Au
0.000 0.500 0.000 Ba
0.500 0.000 0.000 Ba
```

Properties
Its relative energy among the computed polymorphs is 2.56 kJ/mol of atoms. As for the total DFT energy (no corrections): -2.444 eV per atom. As for the size of the total moment: 0.00 μB/f.u. The calculation puts the calculated formation energy at -0.283 eV/atom.

---

11.
# K2Na2C

A geometry-optimized K2Na2C structure (GGA-PBE, Alexandria).

Geometry as POSCAR:
```
K2Na2C
1.0
-4.115 -0.168 1.088
-0.606 -3.168 -2.783
-0.062 -8.782 6.750
Na K C
2 2 1
direct
0.750 0.250 0.500 Na
0.250 0.750 0.500 Na
0.423 0.423 0.153 K
0.577 0.577 0.847 K
0.000 0.000 0.000 C
```

Properties
Its relative energy among the computed polymorphs is 0.00 kJ/mol of atoms. As for the total DFT energy (no corrections): -1.776 eV per atom. As for the size of the total moment: 2.23 μB/f.u. The calculation puts the calculated formation energy at 1.036 eV/atom.

---

12.
# La2SeIN

A geometry-optimized La2SeIN structure (GGA-PBE, Alexandria).

Geometry as POSCAR:
```
La2SeIN
1.0
-3.249 -1.066 -2.471
3.392 -0.731 -7.747
0.860 -9.027 -0.838
La Se I N
4 2 2 2
direct
0.416 0.862 0.306 La
0.584 0.138 0.694 La
0.871 0.218 0.040 La
0.129 0.782 0.960 La
0.365 0.409 0.860 Se
0.635 0.591 0.140 Se
0.814 0.755 0.617 I
0.186 0.245 0.383 I
0.055 0.064 0.825 N
0.945 0.936 0.175 N
```

Properties
Its relative energy among the computed polymorphs is 0.00 kJ/mol of atoms. As for the total DFT energy (no corrections): -6.282 eV per atom. As for the size of the total moment: 0.00 μB/f.u. The value obtained for the uncorrected formation energy is -1639 meV per atom.